# IrBrO2F

Crystalline IrBrO2F at its relaxed geometry (GGA-PBE, Alexandria).

Lattice parameters (Å, degrees): 3.8911 3.8911 4.3845 90.00 90.00 90.00
Closest atoms and distances in Å follow each position.
Atoms (fractional coordinates):
Ir1 0.0000 0.0000 0.0000  4 O 1.95
O1 0.0000 0.5000 0.0000  2 Ir 1.95
O2 0.5000 0.0000 0.0000  2 Ir 1.95
Br1 0.5000 0.5000 0.5000  4 F 2.75, 8 O 2.93
F1 0.0000 0.0000 0.5000  2 Ir 2.19

Computed properties:
Raw formation energy   -0.110 eV/atom
Density of states at the Fermi level   1.375 states/eV per atom
Space group   No. 123
Crystal system   tetragonal
Total magnetic moment   0.00 Bohr magnetons per cell